The following is a DFT calculation (GGA-PBE) of an optimized crystal structure of Pr4Cu3Hg.

a b c (Å): 3.9540 4.6914 11.0835
angles (deg): 90.00 90.00 90.00
Fractional coordinates of all 8 atoms:
Pr: 0.0000 0.0000 0.0000
Pr: 0.0000 0.5000 0.2678
Pr: 0.5000 0.0000 0.4723
Pr: 0.5000 0.5000 0.7792
Cu: 0.0000 0.5000 0.5503
Cu: 0.5000 0.0000 0.1963
Cu: 0.5000 0.5000 0.0662
Hg: 0.0000 0.0000 0.7019

Values from the calculation:
Total energy   -4.168 eV/atom
Crystal system   orthorhombic
Space group   Pmm2, No. 25
DFT formation energy   -19.71 kJ per mole of atoms